Entry 1:
BaMn5 | Alexandria via LeMat-Bulk | GGA-PBE | relaxed; D(E_F) = 6.209 states/eV/cell; E = -0.551 Ry/atom; space-group type = P4/mmm, No. 123; ρ = 6.46 g/cm3; energy relative to the elements = 0.47 eV per atom
1.0
3.161 0.000 0.000
0.000 3.161 0.000
0.000 0.000 10.604
Ba Mn
1 5
Cartesian
0.000 0.000 0.000 Ba
0.000 0.000 3.892 Mn
0.000 0.000 6.712 Mn
1.580 1.580 2.729 Mn
1.580 1.580 5.302 Mn
1.580 1.580 7.875 Mn

***

Entry 2:
YCrSeBr2 | Alexandria via LeMat-Bulk | GGA-PBE | relaxed; D(E_F) = 3.749 states/eV/cell; E = -0.374 Ry/atom; space-group type = P4/mmm, No. 123; ρ = 4.86 g/cm3; raw formation energy = -0.511 eV per atom
1.0
4.986 0.000 0.000
0.000 4.986 0.000
0.000 0.000 5.215
Y Cr Se Br
1 1 1 2
Cartesian
0.000 0.000 0.000 Y
2.493 2.493 2.608 Cr
2.493 2.493 0.000 Se
0.000 2.493 2.608 Br
2.493 0.000 2.608 Br

***

Entry 3:
AlCr2B | Alexandria via LeMat-Bulk | GGA-PBE | relaxed; D(E_F) = 6.907 states/eV/cell; E = -0.525 Ry/atom; space-group type = I-42d, No. 122; ρ = 5.15 g/cm3; energy relative to the elements = 0.27 eV per atom
1.0
-3.185 3.185 2.255
3.185 -3.185 2.255
3.185 3.185 -2.255
Al Cr B
2 4 2
Cartesian
0.000 0.000 0.000 Al
0.000 3.185 1.128 Al
1.592 -1.209 1.691 Cr
1.976 1.592 0.564 Cr
1.592 4.393 -0.564 Cr
1.209 1.592 2.819 Cr
3.185 0.000 1.128 B
0.000 0.000 2.255 B

***

Entry 4:
Y2AlNi | Alexandria via LeMat-Bulk | GGA-PBE | relaxed; D(E_F) = 3.911 states/eV/cell; E = -0.440 Ry/atom; space-group type = Pm, No. 6; ρ = 4.80 g/cm3; energy relative to the elements = -0.38 eV per atom
1.0
3.783 0.000 0.000
0.000 4.356 0.000
-1.854 0.000 5.527
Y Al Ni
2 1 1
Cartesian
0.000 0.000 0.000 Y
0.009 2.178 3.183 Y
1.896 2.178 0.848 Al
1.900 0.000 2.249 Ni

***

Entry 5:
TcTeSe2 | Alexandria via LeMat-Bulk | GGA-PBE | relaxed; D(E_F) = 4.158 states/eV/cell; E = -0.337 Ry/atom; space-group type = P4/mmm, No. 123; ρ = 6.96 g/cm3; raw formation energy = 0.535 eV per atom
1.0
4.015 0.000 0.000
0.000 4.015 0.000
0.000 0.000 5.676
Tc Te Se
1 1 2
Cartesian
0.000 0.000 0.000 Tc
2.007 2.007 2.838 Te
0.000 0.000 2.838 Se
2.007 2.007 0.000 Se

***

Entry 6:
Os2Ru2Rh | Alexandria via LeMat-Bulk | GGA-PBE | relaxed; D(E_F) = 7.418 states/eV/cell; E = -0.686 Ry/atom; space-group type = P4/mbm, No. 127; ρ = 15.21 g/cm3; energy relative to the elements = 0.34 eV per atom
1.0
7.402 0.000 0.000
0.000 7.402 0.000
0.000 0.000 2.733
Os Ru Rh
4 4 2
Cartesian
1.259 2.442 0.000 Os
2.442 6.143 0.000 Os
4.960 1.259 0.000 Os
6.143 4.960 0.000 Os
0.921 4.622 1.366 Ru
2.779 0.921 1.366 Ru
4.622 6.480 1.366 Ru
6.480 2.779 1.366 Ru
0.000 0.000 1.366 Rh
3.701 3.701 1.366 Rh

***

Entry 7:
Na3Cd2In3Hg | Alexandria via LeMat-Bulk | GGA-PBE | relaxed; D(E_F) = 2.495 states/eV/cell; E = -0.125 Ry/atom; space-group type = P-62m, No. 189; ρ = 6.12 g/cm3; energy relative to the elements = -0.12 eV per atom
1.0
8.813 0.000 0.000
-4.406 7.632 0.000
0.000 0.000 3.384
Na Cd In Hg
3 2 3 1
Cartesian
-3.105 5.378 0.000 Na
1.302 2.254 0.000 Na
6.209 0.000 0.000 Na
0.000 5.088 0.000 Cd
4.406 2.544 0.000 Cd
-1.598 2.767 1.692 In
3.195 0.000 1.692 In
2.809 4.865 1.692 In
0.000 0.000 1.692 Hg

***

Entry 8:
LiPm2Eu | Alexandria via LeMat-Bulk | GGA-PBE | relaxed; D(E_F) = 5.935 states/eV/cell; E = -0.390 Ry/atom; space-group type = P4/mmm, No. 123; ρ = 5.79 g/cm3; energy relative to the elements = 0.12 eV per atom
1.0
3.760 0.000 0.000
0.000 3.760 0.000
0.000 0.000 9.114
Li Pm Eu
1 2 1
Cartesian
0.000 0.000 0.000 Li
1.880 1.880 1.878 Pm
1.880 1.880 7.237 Pm
0.000 0.000 4.557 Eu

***

Entry 9:
TmNbTc | Alexandria via LeMat-Bulk | GGA-PBE | relaxed; D(E_F) = 5.840 states/eV/cell; E = -0.609 Ry/atom; space-group type = Fmmm, No. 69; ρ = 9.63 g/cm3; energy relative to the elements = 0.02 eV per atom
1.0
0.000 4.264 4.873
2.986 0.000 4.873
2.986 4.264 0.000
Tm Nb Tc
2 2 2
Cartesian
2.986 1.550 4.873 Tm
2.986 6.978 4.873 Tm
2.986 4.264 3.115 Nb
2.986 4.264 6.631 Nb
1.493 2.132 2.437 Tc
4.478 6.396 7.310 Tc

***

Entry 10:
CdGa2Ir | Alexandria via LeMat-Bulk | GGA-PBE | relaxed; D(E_F) = 3.880 states/eV/cell; E = -0.269 Ry/atom; space-group type = I-42d, No. 122; ρ = 6.87 g/cm3; energy relative to the elements = 0.29 eV per atom
1.0
-3.027 3.027 5.860
3.027 -3.027 5.860
3.027 3.027 -5.860
Cd Ga Ir
2 4 2
Cartesian
0.000 0.000 0.000 Cd
0.000 3.027 2.930 Cd
1.514 -1.106 4.395 Ga
1.921 1.514 1.465 Ga
1.514 4.134 -1.465 Ga
1.106 1.514 7.325 Ga
3.027 0.000 2.930 Ir
0.000 0.000 5.860 Ir

***

Entry 11:
MnP3 | Alexandria via LeMat-Bulk | GGA-PBE | relaxed; D(E_F) = 10.331 states/eV/cell; E = -0.432 Ry/atom; space-group type = P6_3/mmc, No. 194; ρ = 4.19 g/cm3; energy relative to the elements = 0.48 eV per atom
1.0
5.351 0.000 0.000
-2.675 4.634 0.000
0.000 0.000 9.462
Mn P
4 12
Cartesian
0.000 0.000 0.000 Mn
0.000 0.000 4.731 Mn
0.000 3.089 2.366 Mn
2.675 1.545 7.097 Mn
-1.338 2.317 0.000 P
-1.338 2.317 4.731 P
0.000 1.339 7.097 P
-1.516 3.965 7.097 P
1.159 0.669 2.366 P
2.675 0.000 0.000 P
2.675 0.000 4.731 P
1.338 2.317 0.000 P
1.338 2.317 4.731 P
1.516 3.965 7.097 P
4.191 0.669 2.366 P
2.675 3.295 2.366 P

***

Entry 12:
K2BaOsCl8 | Alexandria via LeMat-Bulk | GGA-PBE | relaxed; D(E_F) = 5.174 states/eV/cell; E = -0.288 Ry/atom; space-group type = P-1, No. 2; ρ = 2.99 g/cm3; raw formation energy = -1.411 eV per atom
1.0
5.831 0.000 0.000
2.537 7.267 0.000
0.003 0.002 9.048
K Ba Os Cl
2 1 1 8
Cartesian
0.006 0.002 2.200 K
8.365 7.268 6.847 K
4.186 3.635 4.524 Ba
4.184 3.634 0.000 Os
0.815 1.808 4.526 Cl
2.283 4.947 0.002 Cl
3.315 2.225 1.714 Cl
3.315 2.228 7.334 Cl
5.056 5.042 1.713 Cl
5.057 5.045 7.334 Cl
6.089 2.323 9.046 Cl
7.556 5.462 4.522 Cl